This record from Alexandria describes crystalline Sr2TeSe at its relaxed geometry. The functional is PBE.

Symmetry   No. 216
Energy relative to the elements, uncorrected   -3.31 eV/f.u.
Spin magnetization   0.00 μB/f.u.
Final energy   -3.325 eV per atom
Energy relative to the lowest polymorph listed for this composition   1067.5 meV per atom
Volume   30.95 Å³/atom

POSCAR file:
```
Sr2TeSe
1.0
0.000 3.956 3.956
3.956 0.000 3.956
3.956 3.956 0.000
Sr Te Se
2 1 1
Direct
0.000 0.000 0.000
0.250 0.250 0.250
0.500 0.500 0.500
0.750 0.750 0.750
```